NaPH2O4: relaxed, PBEsol.

Lattice parameters (Å, degrees): 6.1375 9.6522 12.2457 90.00 90.00 91.39
With the nearest neighbours (Å) after each atom.
Sites, in units of the cell vectors:
Na: 0.2539 0.0313 0.4411  5 O 2.30-2.40, 1 H 2.43
Na: 0.9315 0.0807 0.8754  5 O 2.29-2.52
Na: 0.7461 0.4687 0.9411  5 O 2.30-2.40, 1 H 2.43
Na: 0.0685 0.9193 0.1246  5 O 2.29-2.52
Na: 0.9315 0.5807 0.6246  5 O 2.29-2.52
Na: 0.2539 0.5313 0.0589  5 O 2.30-2.40, 1 H 2.43
Na: 0.0685 0.4193 0.3754  5 O 2.29-2.52
Na: 0.7461 0.9687 0.5589  5 O 2.30-2.40, 1 H 2.43
H: 0.8721 0.8909 0.3435  1 O 0.99
H: 0.0763 0.3628 0.7892  1 O 0.99
H: 0.9237 0.1372 0.2892  1 O 0.99
H: 0.1741 0.1526 0.2728  1 O 1.00
H: 0.9975 0.2178 0.5842  1 O 0.98
H: 0.0025 0.2822 0.0842  1 O 0.98
H: 0.1279 0.6091 0.8435  1 O 0.99
H: 0.9237 0.6372 0.2108  1 O 0.99
H: 0.0025 0.7822 0.4158  1 O 0.98
H: 0.8259 0.3474 0.7728  1 O 1.00
H: 0.8259 0.8474 0.7272  1 O 1.00
H: 0.1741 0.6526 0.2272  1 O 1.00
H: 0.9975 0.7178 0.9158  1 O 0.98
H: 0.0763 0.8628 0.7108  1 O 0.99
H: 0.8721 0.3909 0.1565  1 O 0.99
H: 0.1279 0.1091 0.6565  1 O 0.99
O: 0.0501 0.6975 0.1900  2 H 0.99-1.00
O: 0.5137 0.1199 0.8991  2 P 1.62-1.63
O: 0.8226 0.8747 0.9758  1 P 1.50
O: 0.5690 0.1398 0.0983  2 P 1.61-1.63
O: 0.4310 0.3602 0.5983  2 P 1.61-1.63
O: 0.4863 0.8801 0.1009  2 P 1.62-1.63
O: 0.4863 0.3801 0.3991  2 P 1.62-1.63
O: 0.9499 0.3025 0.8100  2 H 0.99-1.00
O: 0.1774 0.1253 0.0242  1 P 1.50
O: 0.9491 0.3776 0.0864  2 H 0.98-0.99
O: 0.5687 0.6579 0.0072  1 P 1.48
O: 0.5687 0.1579 0.4928  1 P 1.48
O: 0.2293 0.0072 0.7713  1 P 1.50
O: 0.4313 0.8421 0.5072  1 P 1.48
O: 0.5690 0.6398 0.4017  2 P 1.61-1.63
O: 0.0509 0.1224 0.5864  2 H 0.98-0.99
O: 0.0501 0.1975 0.3100  2 H 0.99-1.00
O: 0.9491 0.8776 0.4136  2 H 0.98-0.99
O: 0.1774 0.6253 0.4758  1 P 1.50
O: 0.2293 0.5072 0.7287  1 P 1.50
O: 0.4310 0.8602 0.9017  2 P 1.61-1.63
O: 0.6476 0.9782 0.7484  1 P 1.49
O: 0.6476 0.4782 0.7516  1 P 1.49
O: 0.7707 0.4928 0.2713  1 P 1.50
O: 0.4313 0.3421 0.9928  1 P 1.48
O: 0.7707 0.9928 0.2287  1 P 1.50
O: 0.8226 0.3747 0.5242  1 P 1.50
O: 0.3524 0.5218 0.2484  1 P 1.49
O: 0.0509 0.6224 0.9136  2 H 0.98-0.99
O: 0.5137 0.6199 0.6009  2 P 1.62-1.63
O: 0.9499 0.8025 0.6900  2 H 0.99-1.00
O: 0.3524 0.0218 0.2516  1 P 1.49
P: 0.3994 0.6902 0.4950  4 O 1.48-1.63
P: 0.5485 0.5093 0.3198  4 O 1.49-1.62
P: 0.4515 0.9907 0.8198  4 O 1.49-1.62
P: 0.5485 0.0093 0.1802  4 O 1.49-1.62
P: 0.6006 0.8098 0.9950  4 O 1.48-1.63
P: 0.3994 0.1902 0.0050  4 O 1.48-1.63
P: 0.4515 0.4907 0.6802  4 O 1.49-1.62
P: 0.6006 0.3098 0.5050  4 O 1.48-1.63

Summary:
For the total magnetization, the calculation gives 0.00 μB per cell. For the energy above the lowest structure with this stoichiometry, the calculation gives 0.002 eV per atom. Its density of states at the Fermi level is 0.0 states/eV/cell.

***

Na6P2H2O9: relaxed, PBEsol.

Lattice parameters (Å, degrees): 5.4206 5.5035 16.7117 82.80 80.67 60.50
With the nearest neighbours (Å) after each atom.
Sites, in units of the cell vectors:
P: 0.5469 0.7953 0.8865  4 O 1.55-1.56
P: 0.4531 0.2047 0.1135  4 O 1.55-1.56
P: 0.7713 0.2953 0.3865  4 O 1.55-1.56
P: 0.2287 0.7047 0.6135  4 O 1.55-1.56
O: 0.9615 0.8475 0.6774  1 P 1.56, 1 H 1.64
O: 0.4864 0.6525 0.8226  1 P 1.56, 1 H 1.64
O: 0.1408 0.3930 0.0934  1 P 1.56
O: 0.3729 0.8930 0.5934  1 P 1.56
O: 0.3340 0.8274 0.9643  1 P 1.56
O: 0.0385 0.1525 0.3226  1 P 1.56, 1 H 1.64
O: 0.5136 0.3475 0.1774  1 P 1.56, 1 H 1.64
O: 0.6271 0.1070 0.4066  1 P 1.56
O: 0.5576 0.5858 0.3516  1 P 1.55
O: 0.4950 0.9142 0.1484  1 P 1.55
O: 0.4424 0.4142 0.6484  1 P 1.55
O: 0.6660 0.1726 0.0357  1 P 1.56
O: 0.8592 0.6070 0.9066  1 P 1.56
O: 0.1257 0.6726 0.5357  1 P 1.56
O: 0.9570 0.2500 0.7500  2 H 1.02
O: 0.5050 0.0858 0.8516  1 P 1.55
O: 0.0430 0.7500 0.2500  2 H 1.02
O: 0.8743 0.3274 0.4643  1 P 1.56
Na: 0.5212 0.0128 0.2843  6 O 2.33-2.46
Na: 0.3438 0.9141 0.4524  5 O 2.26-2.44
Na: 0.7103 0.5859 0.0476  5 O 2.26-2.44
Na: 0.9040 0.4022 0.5991  4 O 2.39-2.57, 1 H 2.50
Na: 0.0960 0.5978 0.4009  4 O 2.39-2.57, 1 H 2.50
Na: 0.1817 0.5128 0.7843  6 O 2.33-2.46
Na: 0.0947 0.9022 0.0991  4 O 2.39-2.57, 1 H 2.50
Na: 0.6562 0.0859 0.5476  5 O 2.26-2.44
Na: 0.9053 0.0978 0.9009  4 O 2.39-2.57, 1 H 2.50
Na: 0.2897 0.4141 0.9524  5 O 2.26-2.44
Na: 0.4788 0.9872 0.7157  6 O 2.33-2.46
Na: 0.8183 0.4872 0.2157  6 O 2.33-2.46
H: 0.9342 0.1014 0.7266  1 O 1.02
H: 0.0658 0.8986 0.2734  1 O 1.02
H: 0.7622 0.3986 0.7734  1 O 1.02
H: 0.2378 0.6014 0.2266  1 O 1.02

Summary:
The electronic total energy is -5.899 eV per atom. For the total magnetization, the calculation gives 0.08 μB per cell. Its density of states at the Fermi level is 0.0 states/eV/cell.

***

NaPH2O4: relaxed, PBEsol.

Lattice parameters (Å, degrees): 6.3330 6.6696 9.4543 93.75 103.61 108.16
With the nearest neighbours (Å) after each atom.
Sites, in units of the cell vectors:
Na: 0.5713 0.1659 0.8674  5 O 2.25-2.44
Na: 0.2407 0.5554 0.4113  6 O 2.40-2.51
Na: 0.7593 0.4446 0.5887  6 O 2.40-2.51
Na: 0.4287 0.8341 0.1326  5 O 2.25-2.44
O: 0.8240 0.3321 0.3567  2 H 0.99
O: 0.4357 0.1764 0.0867  1 P 1.50
O: 0.0433 0.1204 0.1415  2 P 1.61-1.62
O: 0.5643 0.8236 0.9133  1 P 1.50
O: 0.9567 0.8796 0.8585  2 P 1.61-1.62
O: 0.7929 0.1191 0.6968  1 P 1.50
O: 0.8026 0.9134 0.2863  1 P 1.50
O: 0.2071 0.8809 0.3032  1 P 1.50
O: 0.6791 0.5066 0.8248  1 P 1.48
O: 0.1760 0.6679 0.6433  2 H 0.99
O: 0.3209 0.4934 0.1752  1 P 1.48
O: 0.6471 0.7413 0.5055  2 H 0.99-1.00
O: 0.3529 0.2587 0.4945  2 H 0.99-1.00
O: 0.8847 0.7176 0.0760  2 P 1.62
O: 0.1974 0.0866 0.7137  1 P 1.50
O: 0.1153 0.2824 0.9240  2 P 1.62
H: 0.7036 0.3254 0.2670  1 O 0.99
H: 0.6752 0.8763 0.5695  1 O 0.99
H: 0.2884 0.2085 0.5776  1 O 1.00
H: 0.3248 0.1237 0.4305  1 O 0.99
H: 0.1694 0.8150 0.6535  1 O 0.99
H: 0.8306 0.1850 0.3465  1 O 0.99
H: 0.7116 0.7915 0.4224  1 O 1.00
H: 0.2964 0.6746 0.7330  1 O 0.99
P: 0.7447 0.7223 0.9095  4 O 1.48-1.62
P: 0.2553 0.2777 0.0905  4 O 1.48-1.62
P: 0.0105 0.0936 0.7847  4 O 1.50-1.62
P: 0.9895 0.9064 0.2153  4 O 1.50-1.62

Summary:
For the total magnetization, the calculation gives 0.13 μB per cell. For the energy above the lowest structure with this stoichiometry, the calculation gives 0.000 eV per atom. Its density of states at the Fermi level is 0.0 states/eV/cell.